[1]
DyAg2Se2 | PBE | relaxed

```
DyAg2Se2
1.0
4.3762 -3.4972 0.0000
4.3762 3.4972 0.0000
-3.3831 0.0000 7.5126
Dy Ag Se
2 4 4
direct
0.1533 0.8467 0.7500
0.8467 0.1533 0.2500
0.0000 0.5000 0.0000
0.5000 0.0000 0.5000
0.5000 0.5000 0.0000
0.5000 0.5000 0.5000
0.1232 0.2909 0.6355
0.2909 0.1232 0.1355
0.7091 0.8768 0.8645
0.8768 0.7091 0.3645
```

[2]
KTc2GeO8 | PBE | relaxed

```
KTc2GeO8
1.0
2.6684 1.5406 8.6892
-2.6684 1.5406 8.6892
0.0000 -3.0812 8.6892
K Tc Ge O
1 2 1 8
direct
0.0000 0.0000 0.0000
0.2453 0.2453 0.2453
0.7547 0.7547 0.7547
0.5000 0.5000 0.5000
0.1018 0.4763 0.7548
0.2452 0.5237 0.8982
0.3124 0.3124 0.3124
0.4763 0.7548 0.1018
0.5237 0.8982 0.2452
0.6876 0.6876 0.6876
0.7548 0.1018 0.4763
0.8982 0.2452 0.5237
```

[3]
ZrAlSi | PBE | relaxed

```
ZrAlSi
1.0
6.8340 0.0000 0.0000
-3.4170 5.9184 0.0000
0.0000 0.0000 3.7886
Zr Al Si
3 3 3
direct
0.0000 0.3923 0.0000
0.3923 0.0000 0.0000
0.6077 0.6077 0.0000
0.0000 0.7374 0.5000
0.2626 0.2626 0.5000
0.7374 0.0000 0.5000
0.0000 0.0000 0.0000
0.3333 0.6667 0.5000
0.6667 0.3333 0.5000
```

| no. | uncorrected formation energy (meV/atom) | calculated volume (Å³ per cell) | DFT total energy (eV/atom) |
| --- | --- | --- | --- |
| 1 | -661 | 230 | -4.116 |
| 2 | -1362 | 214 | -6.872 |
| 3 | -559 | 153 | -6.464 |